# 1
Crystalline AcTiCu4 at its relaxed geometry. Source: Alexandria, functional PBE.

Summary:
Theoretical density   8.6 Mg/m³
Total energy   -4.613 eV/atom

Unit cell a=5.257 b=5.257 c=5.257 alpha=60.00 beta=60.00 gamma=60.00
Atoms (fractional coordinates):
Ac1 0.000 0.000 0.000
Ti1 0.750 0.750 0.750
Cu1 0.378 0.378 0.378
Cu2 0.378 0.378 0.866
Cu3 0.378 0.866 0.378
Cu4 0.866 0.378 0.378

***

# 2
Crystalline Ac3TlCu2 at its relaxed geometry. Source: Alexandria, functional PBE.

Summary:
Theoretical density   9.3 Mg/m³
Total energy   -3.982 eV/atom

Unit cell a=3.849 b=3.849 c=12.179 alpha=90.00 beta=90.00 gamma=90.00
Atoms (fractional coordinates):
Ac1 0.000 0.000 0.000
Ac2 0.000 0.000 0.308
Ac3 0.000 0.000 0.692
Tl1 0.500 0.500 0.500
Cu1 0.500 0.500 0.155
Cu2 0.500 0.500 0.845

***

# 3
Crystalline AcTlCu at its relaxed geometry. Source: Alexandria, functional PBE.

Summary:
Theoretical density   9.4 Mg/m³
Total energy   -3.697 eV/atom

Unit cell a=4.981 b=4.981 c=4.981 alpha=60.00 beta=60.00 gamma=60.00
Atoms (fractional coordinates):
Ac1 0.000 0.000 0.000
Tl1 0.500 0.500 0.500
Cu1 0.250 0.250 0.250

***

Repeat the third record exactly.
Crystalline AcTlCu at its relaxed geometry. Source: Alexandria, functional PBE.

Summary:
Theoretical density   9.4 Mg/m³
Total energy   -3.697 eV/atom

Unit cell a=4.981 b=4.981 c=4.981 alpha=60.00 beta=60.00 gamma=60.00
Atoms (fractional coordinates):
Ac1 0.000 0.000 0.000
Tl1 0.500 0.500 0.500
Cu1 0.250 0.250 0.250

***

Which of these has the highest total energy? AcTlCu